[1]
Computed, not measured: a relaxed structure of Hf2CdOs at the GGA-PBE level of DFT.

```
Hf2CdOs
1.0
0.000 3.326 3.326
3.326 0.000 3.326
3.326 3.326 0.000
Hf Cd Os
2 1 1
Cartesian
0.000 0.000 0.000
1.663 1.663 1.663
4.990 4.990 4.990
3.326 3.326 3.326
```

Properties
VASP energy: -31.84 eV per cell
total magnetization: 0.0 μB per cell
energy of formation: 0.048 eV per atom

=====

[2]
Computed, not measured: a relaxed structure of HfCdOs2 at the GGA-PBE level of DFT.

```
HfCdOs2
1.0
0.000 3.244 3.244
3.244 0.000 3.244
3.244 3.244 0.000
Hf Cd Os
1 1 2
Cartesian
0.000 0.000 0.000
4.866 4.866 4.866
1.622 1.622 1.622
3.244 3.244 3.244
```

Properties
VASP energy: -31.69 eV per cell
total magnetization: 0.5 μB per cell
energy of formation: 0.402 eV per atom

=====

[3]
Computed, not measured: a relaxed structure of Hf2Cd3Pb at the GGA-PBE level of DFT.

```
Hf2Cd3Pb
1.0
3.483 0.000 0.000
0.000 3.483 0.000
0.000 0.000 10.780
Hf Cd Pb
2 3 1
Cartesian
0.000 0.000 0.000
1.742 1.742 5.229
0.000 0.000 3.445
1.742 1.742 1.805
1.742 1.742 9.097
0.000 0.000 7.188
```

Properties
VASP energy: -25.27 eV per cell
total magnetization: 0.0 μB per cell

=====

[4]
Computed, not measured: a relaxed structure of Hf2CdPd at the GGA-PBE level of DFT.

```
Hf2CdPd
1.0
0.000 3.390 3.390
3.390 0.000 3.390
3.390 3.390 0.000
Hf Cd Pd
2 1 1
Cartesian
0.000 0.000 0.000
1.695 1.695 1.695
3.390 3.390 3.390
5.085 5.085 5.085
```

Properties
VASP energy: -26.05 eV per cell
total magnetization: 2.0 μB per cell
energy of formation: -0.016 eV per atom

=====

[5]
Computed, not measured: a relaxed structure of HfCdPd2 at the GGA-PBE level of DFT.

```
HfCdPd2
1.0
0.000 3.284 3.284
3.284 0.000 3.284
3.284 3.284 0.000
Hf Cd Pd
1 1 2
Cartesian
0.000 0.000 0.000
1.642 1.642 1.642
3.284 3.284 3.284
4.926 4.926 4.926
```

Properties
VASP energy: -22.58 eV per cell
total magnetization: 0.0 μB per cell
energy of formation: -0.344 eV per atom

=====

[6]
Computed, not measured: a relaxed structure of Hf2CdPd3 at the GGA-PBE level of DFT.

```
Hf2CdPd3
1.0
3.488 0.000 0.000
0.000 3.488 0.000
0.000 0.000 8.898
Hf Cd Pd
2 1 3
Cartesian
0.000 0.000 0.000
1.744 1.744 4.114
0.000 0.000 5.893
0.000 0.000 2.923
1.744 1.744 1.318
1.744 1.744 7.360
```

Properties
VASP energy: -40.36 eV per cell
total magnetization: 0.0 μB per cell
energy of formation: -0.671 eV per atom

=====

[7]
Computed, not measured: a relaxed structure of HfCdPd2 at the GGA-PBE level of DFT.

```
HfCdPd2
1.0
0.000 3.284 3.284
3.284 0.000 3.284
3.284 3.284 0.000
Hf Cd Pd
1 1 2
Cartesian
0.000 0.000 0.000
4.926 4.926 4.926
1.642 1.642 1.642
3.284 3.284 3.284
```

Properties
VASP energy: -22.58 eV per cell
total magnetization: 0.0 μB per cell
energy of formation: -0.344 eV per atom

=====

[8]
Computed, not measured: a relaxed structure of PmHfCd at the GGA-PBE level of DFT.

```
PmHfCd
1.0
0.000 3.520 3.520
3.520 0.000 3.520
3.520 3.520 0.000
Pm Hf Cd
1 1 1
Cartesian
0.000 0.000 0.000
5.280 5.280 5.280
3.520 3.520 3.520
```

Properties
VASP energy: -13.38 eV per cell
total magnetization: 1.3 μB per cell
relative energy among the computed polymorphs: 0.0 meV per atom
energy of formation: 0.738 eV per atom

=====

[9]
Computed, not measured: a relaxed structure of PmHfCd at the GGA-PBE level of DFT.

```
PmHfCd
1.0
0.000 3.559 3.559
3.559 0.000 3.559
3.559 3.559 0.000
Pm Hf Cd
1 1 1
Cartesian
0.000 0.000 0.000
1.780 1.780 1.780
5.339 5.339 5.339
```

Properties
VASP energy: -12.80 eV per cell
total magnetization: 0.8 μB per cell
relative energy among the computed polymorphs: 192.4 meV per atom
energy of formation: 0.930 eV per atom

=====

[10]
Computed, not measured: a relaxed structure of Hf2CdPt at the GGA-PBE level of DFT.

```
Hf2CdPt
1.0
0.000 3.378 3.378
3.378 0.000 3.378
3.378 3.378 0.000
Hf Cd Pt
2 1 1
Cartesian
0.000 0.000 0.000
1.689 1.689 1.689
5.067 5.067 5.067
3.378 3.378 3.378
```

Properties
VASP energy: -27.52 eV per cell
total magnetization: 2.0 μB per cell
energy of formation: -0.164 eV per atom

=====

[11]
Computed, not measured: a relaxed structure of HfCdPt at the GGA-PBE level of DFT.

```
HfCdPt
1.0
3.484 0.000 0.000
0.000 3.484 0.000
0.000 0.000 9.230
Hf Cd Pt
2 2 2
Cartesian
0.000 0.000 0.000
1.742 1.742 4.615
0.000 0.000 2.959
0.000 0.000 6.271
1.742 1.742 1.459
1.742 1.742 7.771
```

Properties
VASP energy: -37.14 eV per cell
total magnetization: 0.0 μB per cell
energy of formation: -0.554 eV per atom

=====

[12]
Computed, not measured: a relaxed structure of HfCdPt at the GGA-PBE level of DFT.

```
HfCdPt
1.0
-1.762 1.762 4.536
1.762 -1.762 4.536
1.762 1.762 -4.536
Hf Cd Pt
1 1 1
Cartesian
0.000 0.000 0.000
0.000 0.000 2.886
0.000 0.000 5.885
```

Properties
VASP energy: -18.52 eV per cell
total magnetization: 0.0 μB per cell
energy of formation: -0.537 eV per atom